First-principles (PBE-GGA) data for a relaxed structure of K3Tm3GeS8, as listed in the Alexandria database.

```
K3Tm3GeS8
1.0
7.791 0.000 0.000
-3.896 6.747 -0.028
0.000 -4.468 7.536
Ge Tm S K
1 3 8 3
Cartesian
0.000 -2.234 3.768 Ge
1.948 1.139 3.754 Tm
-1.948 1.140 3.754 Tm
3.896 -2.234 3.768 Tm
0.000 -0.156 5.165 S
1.795 -1.203 2.358 S
0.000 2.258 2.262 S
5.996 -1.203 2.358 S
-2.100 3.482 5.150 S
3.896 0.021 5.247 S
3.896 2.435 2.344 S
2.100 3.482 5.150 S
-1.948 3.374 -0.014 K
1.948 3.374 -0.014 K
0.000 0.000 0.000 K
```

volume: 26.3 A^3/atom
energy relative to the elements, uncorrected: -22.6 eV/f.u.
total DFT energy (no corrections): -5.1287 eV per atom
Fermi-level density of states: 0.05 states/eV per atom